(1)
## NdSm2Bi (PBE)

Data for a geometry-optimized NdSm2Bi structure.

Properties
**Crystal system**: trigonal
**Calculated formation energy**: -20.6 kJ per mole of atoms
**Offset from the most stable computed form**: 0.2407 eV/atom

a b c (Å): 4.1286 4.1286 29.2246
angles (deg): 90.00 90.00 120.00
Space group R3m (No. 160, hexagonal axes)
Asymmetric unit:
Nd (0.0000, 0.0000, 0.0000) x3
Sm (0.0000, 0.0000, 0.2368) x3
Sm (0.0000, 0.0000, 0.4303) x3
Bi (0.0000, 0.0000, 0.8337) x3

(2)
## InCo2W (PBE)

Data for a geometry-optimized InCo2W structure.

Properties
**Crystal system**: tetragonal
**Calculated formation energy**: 67.1 kJ per mole of atoms

a b c (Å): 6.806 6.806 5.546
angles (deg): 90.00 90.00 90.00
Space group I-42d (No. 122)
Asymmetric unit:
In (0.000, 0.000, 0.000) x4
Co (0.209, 0.250, 0.625) x8
W (0.000, 0.000, 0.500) x4

(3)
## K2Tb2GeS6 (PBE)

Data for a geometry-optimized K2Tb2GeS6 structure.

Properties
**Crystal system**: monoclinic
**DFT total energy**: -5.0668 eV per atom

a b c (Å): 6.795 11.645 7.893
angles (deg): 90.00 106.98 90.00
Space group C2/m (No. 12)
Asymmetric unit:
K (0.000, 0.171, 0.000) x4
Tb (0.000, 0.332, 0.500) x4
Ge (0.000, 0.000, 0.500) x2
S (0.219, 0.153, 0.692) x8
S (0.231, 0.000, 0.316) x4

Computed volume (Å³ per cell) in order:
431; 257; 597